# 1
Compound: PrY2Tm
Source: the Alexandria database
Functional: GGA-PBE
Structure: relaxed

```
4
Lattice="5.717 0.000 0.000 2.859 4.951 0.000 2.859 1.650 4.668" Properties=species:S:1:pos:R:3 pbc="T T T"
Pr 0.000 0.000 0.000
Y 2.859 1.650 1.167
Y 8.576 4.951 3.501
Tm 5.717 3.301 2.334
```

Properties
The value obtained for the formation energy is 0.126 eV per atom. The energy relative to the lowest polymorph listed for this composition comes out at 11.0 kJ per mole of atoms.

***

# 2
Compound: Pr2Y15Tm2
Source: the Alexandria database
Functional: GGA-PBE
Structure: relaxed

```
19
Lattice="6.722 -5.667 -0.228 6.722 5.667 -0.228 2.240 0.000 8.505" Properties=species:S:1:pos:R:3 pbc="T T T"
Pr 10.574 0.000 5.427
Pr 5.111 0.000 2.623
Y 3.361 -2.834 -0.114
Y 1.120 0.000 4.253
Y 3.361 2.834 -0.114
Y 3.569 1.680 5.917
Y 6.722 2.308 -0.228
Y 5.394 -3.988 2.360
Y 6.722 -2.308 -0.228
Y 3.569 -1.680 5.917
Y 5.394 3.988 2.360
Y 9.013 -2.750 2.841
Y 6.838 0.000 7.078
Y 9.013 2.750 2.841
Y 6.673 2.750 5.209
Y 8.847 0.000 0.971
Y 6.673 -2.750 5.209
Tm 14.172 0.000 7.273
Tm 1.513 0.000 0.777
```

Properties
The value obtained for the formation energy is 0.281 eV per atom.

***

# 3
Compound: Pr8YTm6
Source: the Alexandria database
Functional: GGA-PBE
Structure: relaxed

```
15
Lattice="9.887 0.000 0.000 4.943 8.562 0.000 4.943 2.854 5.985" Properties=species:S:1:pos:R:3 pbc="T T T"
Pr 7.023 3.303 2.880
Pr 10.538 2.026 3.105
Pr 6.372 6.985 3.105
Pr 9.887 5.708 1.408
Pr 9.887 5.708 4.577
Pr 13.402 4.431 2.880
Pr 9.235 9.391 2.880
Pr 12.750 8.113 3.105
Y 0.000 0.000 0.000
Tm 13.217 10.739 5.797
Tm 2.252 2.546 0.188
Tm 6.022 5.339 0.188
Tm 13.751 6.077 5.797
Tm 17.522 8.870 5.797
Tm 6.556 0.677 0.188
```

Properties
The value obtained for the formation energy is 0.171 eV per atom. The energy relative to the lowest polymorph listed for this composition comes out at 0.0 kJ per mole of atoms.

***

# 4
Compound: Pr2Y5Tm4
Source: the Alexandria database
Functional: GGA-PBE
Structure: relaxed

```
11
Lattice="3.518 -0.318 -0.268 -1.083 8.632 -1.050 0.936 0.549 11.693" Properties=species:S:1:pos:R:3 pbc="T T T"
Pr 2.705 2.610 9.060
Pr 0.667 6.252 1.315
Y 0.323 0.897 3.209
Y 3.049 7.966 7.165
Y 0.980 7.142 4.365
Y 1.759 -0.159 -0.134
Y 2.392 1.721 6.009
Tm 2.406 3.952 3.448
Tm 0.313 3.078 0.436
Tm 0.966 4.910 6.926
Tm 3.059 5.785 9.938
```

Properties
The value obtained for the formation energy is 0.056 eV per atom. The energy relative to the lowest polymorph listed for this composition comes out at 0.0 kJ per mole of atoms.

***

# 5
Compound: Pr3Y4Tm5
Source: the Alexandria database
Functional: GGA-PBE
Structure: relaxed

```
12
Lattice="5.945 0.000 0.000 2.973 7.519 -2.617 2.973 -0.846 9.141" Properties=species:S:1:pos:R:3 pbc="T T T"
Pr 5.945 4.921 0.611
Pr 2.973 3.336 3.262
Pr 5.945 1.751 5.913
Y 5.945 1.624 -0.051
Y 2.973 -0.261 5.586
Y 8.918 6.933 0.938
Y 5.945 5.048 6.575
Tm 8.918 6.451 4.874
Tm 5.945 3.336 3.262
Tm 2.973 3.341 -0.137
Tm 8.918 3.332 6.661
Tm 2.973 0.222 1.650
```

Properties
The value obtained for the formation energy is 0.235 eV per atom.

***

# 6
Compound: Pr2YTm4
Source: the Alexandria database
Functional: GGA-PBE
Structure: relaxed

```
14
Lattice="8.606 -0.175 1.662 -0.732 9.925 -2.089 -2.446 -6.804 6.196" Properties=species:S:1:pos:R:3 pbc="T T T"
Pr 4.190 -2.811 5.378
Pr 4.129 7.659 -0.360
Pr 5.133 1.273 0.733
Pr -1.425 -1.003 4.532
Y -0.990 2.411 3.767
Y -0.346 3.225 0.418
Tm 7.775 -0.331 2.825
Tm 2.666 4.838 1.195
Tm 4.716 0.428 4.245
Tm 5.100 3.789 3.470
Tm 1.728 -1.705 3.139
Tm 0.182 -4.226 4.946
Tm 2.082 1.668 2.312
Tm 6.614 6.288 1.623
```

Properties
The value obtained for the formation energy is 0.072 eV per atom. The energy relative to the lowest polymorph listed for this composition comes out at 0.0 kJ per mole of atoms.

***

# 7
Compound: PrY3Tm7
Source: the Alexandria database
Functional: GGA-PBE
Structure: relaxed

```
11
Lattice="8.596 0.000 0.000 0.000 6.997 0.000 0.000 -3.499 6.060" Properties=species:S:1:pos:R:3 pbc="T T T"
Pr 3.829 0.000 4.040
Y 6.752 1.757 3.026
Y 6.752 3.499 0.009
Y 6.752 5.240 3.026
Tm 1.021 -1.741 5.045
Tm 1.021 0.000 2.030
Tm 1.031 3.499 2.020
Tm 3.831 5.235 1.017
Tm 3.831 1.762 1.017
Tm 3.831 3.499 4.025
Tm 1.021 1.741 5.045
```

Properties
The value obtained for the formation energy is 0.203 eV per atom. The energy relative to the lowest polymorph listed for this composition comes out at 3.5 kJ per mole of atoms.

***

# 8
Compound: PrY7Tm4
Source: the Alexandria database
Functional: GGA-PBE
Structure: relaxed

```
12
Lattice="6.356 -1.871 2.745 0.731 5.743 2.233 2.757 -2.301 10.796" Properties=species:S:1:pos:R:3 pbc="T T T"
Pr 0.000 0.000 0.000
Y 5.116 1.477 3.182
Y 4.728 0.094 12.592
Y 2.567 -0.072 8.015
Y 7.277 1.643 7.759
Y 4.531 2.307 9.826
Y 3.178 -0.936 1.373
Y 5.313 -0.737 5.948
Tm 4.071 2.609 6.368
Tm 5.773 -1.039 9.406
Tm 7.715 1.385 11.200
Tm 2.129 0.186 4.575
```

Properties
The value obtained for the formation energy is 0.001 eV per atom. The energy relative to the lowest polymorph listed for this composition comes out at 0.0 kJ per mole of atoms.

***

# 9
Compound: Pr2Y5Tm2
Source: the Alexandria database
Functional: GGA-PBE
Structure: relaxed

```
18
Lattice="-3.578 1.381 -12.284 4.064 -4.201 -1.656 -5.571 -4.111 7.901" Properties=species:S:1:pos:R:3 pbc="T T T"
Pr 0.393 -0.406 -0.160
Pr 0.636 -1.816 -7.130
Pr -2.588 -2.726 1.108
Pr -2.695 -4.001 -7.066
Y -3.129 -6.130 4.395
Y -0.688 -2.113 -10.951
Y -5.587 -3.865 3.760
Y -2.294 -0.177 -8.660
Y -2.222 -1.301 -2.068
Y -2.894 -5.599 -3.958
Y -0.615 -3.237 -4.357
Y -4.501 -3.663 -1.670
Y -0.215 -4.861 2.023
Y -5.367 -1.557 -7.859
Tm 0.402 -3.634 -1.164
Tm -5.405 -3.383 -4.908
Tm -3.080 -0.974 -5.315
Tm -1.923 -6.043 -0.758
```

Properties
The value obtained for the formation energy is 0.186 eV per atom. The energy relative to the lowest polymorph listed for this composition comes out at 15.9 kJ per mole of atoms.

***

# 10
Compound: PrY3Tm5
Source: the Alexandria database
Functional: GGA-PBE
Structure: relaxed

```
18
Lattice="-0.122 -4.196 -8.258 7.033 -2.073 -5.662 4.579 -11.545 -3.179" Properties=species:S:1:pos:R:3 pbc="T T T"
Pr 10.153 -15.646 -15.190
Pr 1.336 -2.167 -1.909
Y 7.927 -12.276 -11.811
Y 7.316 -9.172 -12.664
Y 0.000 0.000 0.000
Y 2.289 -5.773 -1.590
Y 3.562 -5.538 -5.288
Y 4.173 -8.641 -4.435
Tm 4.478 -7.451 -11.201
Tm 4.731 -2.756 -6.497
Tm 4.674 -4.787 -8.966
Tm 5.062 -7.814 -7.561
Tm 6.427 -10.000 -9.538
Tm 6.815 -13.026 -8.133
Tm 7.424 -6.577 -10.132
Tm 2.179 -3.513 -7.423
Tm 7.011 -10.362 -5.899
Tm 4.065 -11.236 -6.967
```

Properties
The value obtained for the formation energy is 0.420 eV per atom. The energy relative to the lowest polymorph listed for this composition comes out at 7.0 kJ per mole of atoms.

***

# 11
Compound: Pr8YTm6
Source: the Alexandria database
Functional: GGA-PBE
Structure: relaxed

```
15
Lattice="6.577 0.000 0.000 0.000 8.184 -4.725 0.000 0.000 9.450" Properties=species:S:1:pos:R:3 pbc="T T T"
Pr 5.477 0.322 2.561
Pr 5.477 5.805 3.723
Pr 5.477 2.057 7.891
Pr 1.100 7.862 2.164
Pr 1.100 2.378 1.002
Pr 1.100 6.127 -3.166
Pr 5.782 2.728 4.725
Pr 0.795 5.456 0.000
Y 3.288 0.000 0.000
Tm 4.310 5.388 -2.198
Tm 4.310 7.394 1.041
Tm 4.310 3.586 1.158
Tm 2.267 2.796 6.923
Tm 2.267 0.790 3.684
Tm 2.267 4.598 3.567
```

Properties
The value obtained for the formation energy is 0.175 eV per atom. The energy relative to the lowest polymorph listed for this composition comes out at 0.4 kJ per mole of atoms.

***

# 12
Compound: PrY3Tm6
Source: the Alexandria database
Functional: GGA-PBE
Structure: relaxed

```
10
Lattice="0.305 5.059 8.377 8.598 2.993 3.600 2.649 5.978 2.015" Properties=species:S:1:pos:R:3 pbc="T T T"
Pr 8.808 9.042 11.383
Y 5.680 8.008 6.400
Y 5.916 5.570 7.864
Y 2.794 4.476 2.916
Tm 5.951 8.044 10.193
Tm 8.608 5.659 5.791
Tm 2.963 5.356 6.196
Tm 5.583 6.325 3.634
Tm 2.936 8.681 7.984
Tm 8.525 8.990 7.599
```

Properties
The value obtained for the formation energy is 0.311 eV per atom. The energy relative to the lowest polymorph listed for this composition comes out at 16.1 kJ per mole of atoms.

***

# 13
Compound: Pr5YTm3
Source: the Alexandria database
Functional: GGA-PBE
Structure: relaxed

```
18
Lattice="-5.798 1.855 1.819 -0.657 -10.723 -2.254 4.513 4.396 9.900" Properties=species:S:1:pos:R:3 pbc="T T T"
Pr 1.036 4.048 8.162
Pr 0.213 -1.402 9.337
Pr -4.378 -0.975 2.007
Pr -2.156 -3.070 0.128
Pr -1.843 -5.047 3.143
Pr -2.322 2.203 3.557
Pr -4.065 -2.953 5.021
Pr 2.122 -1.519 4.444
Pr -0.100 0.576 6.323
Pr 2.435 -3.496 7.459
Y -1.804 4.957 9.053
Y 0.518 1.294 2.667
Tm 0.000 0.000 0.000
Tm -1.088 -1.575 3.180
Tm 2.256 2.198 4.950
Tm -0.855 -2.896 6.285
Tm -1.996 1.635 9.123
Tm 0.053 -6.107 0.342
```

Properties
The value obtained for the formation energy is 0.280 eV per atom. The energy relative to the lowest polymorph listed for this composition comes out at 0.0 kJ per mole of atoms.

***

# 14
Compound: Pr4Y10Tm
Source: the Alexandria database
Functional: GGA-PBE
Structure: relaxed

```
15
Lattice="7.233 0.000 3.266 3.616 8.077 1.633 0.292 0.000 8.994" Properties=species:S:1:pos:R:3 pbc="T T T"
Pr 5.425 8.073 7.270
Pr 7.527 3.684 12.257
Pr 3.615 4.393 1.636
Pr 5.717 0.004 6.623
Y 3.762 4.039 6.130
Y 6.119 1.690 9.771
Y 1.407 1.690 2.489
Y 6.706 6.387 10.036
Y 8.052 6.388 5.490
Y 5.023 6.388 4.122
Y 7.379 4.039 7.763
Y 3.090 1.690 8.403
Y 4.436 1.690 3.857
Y 9.735 6.387 11.404
Tm 0.000 0.000 0.000
```

Properties
The value obtained for the formation energy is 0.268 eV per atom.

***

# 15
Compound: PrY4Tm10
Source: the Alexandria database
Functional: GGA-PBE
Structure: relaxed

```
15
Lattice="-9.136 -5.444 -1.527 -2.859 -3.745 -7.343 -1.380 -8.559 0.972" Properties=species:S:1:pos:R:3 pbc="T T T"
Pr 0.000 0.000 0.000
Y -7.268 -7.495 -5.396
Y -10.327 -12.744 -6.178
Y -3.049 -5.004 -1.719
Y -6.108 -10.253 -2.501
Tm -4.404 -7.513 -3.567
Tm -8.701 -12.851 -2.707
Tm -9.431 -8.455 -1.845
Tm -7.043 -11.138 -6.570
Tm -10.713 -8.494 -6.199
Tm -4.675 -4.896 -5.190
Tm -8.972 -10.235 -4.330
Tm -2.662 -9.253 -1.698
Tm -6.333 -6.609 -1.328
Tm -3.945 -9.293 -6.052
```

Properties
The value obtained for the formation energy is 0.475 eV per atom.

***

# 16
Compound: Pr6YTm5
Source: the Alexandria database
Functional: GGA-PBE
Structure: relaxed

```
12
Lattice="-2.949 3.000 -10.397 -1.224 -3.768 -3.298 -8.021 -1.422 0.589" Properties=species:S:1:pos:R:3 pbc="T T T"
Pr -4.991 1.455 -7.866
Pr -4.133 -1.914 -4.332
Pr -1.045 -0.183 -3.433
Pr -11.148 -2.007 -9.672
Pr -8.060 -0.276 -8.773
Pr -7.202 -3.645 -5.239
Y 0.000 0.000 0.000
Tm -7.028 -0.076 -5.354
Tm -6.042 1.271 -11.296
Tm -2.086 -0.384 -6.847
Tm -6.151 -3.461 -1.809
Tm -5.165 -2.114 -7.751
```

Properties
The value obtained for the formation energy is 0.019 eV per atom.

***

# 17
Compound: PrY8Tm5
Source: the Alexandria database
Functional: GGA-PBE
Structure: relaxed

```
14
Lattice="8.064 0.000 -2.480 -4.162 6.708 -2.976 0.260 0.000 8.432" Properties=species:S:1:pos:R:3 pbc="T T T"
Pr 0.130 3.354 4.216
Y -1.722 4.974 -1.938
Y 7.226 0.575 3.036
Y 4.853 1.680 0.228
Y 4.027 2.638 4.945
Y 1.820 4.070 -0.764
Y 1.047 6.133 2.881
Y 1.771 1.734 1.973
Y -2.377 5.028 1.543
Tm -0.980 2.156 0.100
Tm 3.249 6.057 -3.273
Tm 3.940 4.552 2.017
Tm 4.162 0.000 2.976
Tm 2.115 0.651 7.109
```

Properties
The value obtained for the formation energy is 0.246 eV per atom.

***

# 18
Compound: Pr3Y8Tm4
Source: the Alexandria database
Functional: GGA-PBE
Structure: relaxed

```
15
Lattice="6.746 -0.076 -0.109 -3.284 8.647 1.197 -3.284 -1.879 8.525" Properties=species:S:1:pos:R:3 pbc="T T T"
Pr 1.731 4.286 0.544
Pr 1.731 -0.977 4.208
Pr 0.089 3.346 4.807
Y 1.986 1.793 2.575
Y -3.284 4.903 3.804
Y -1.531 1.701 2.444
Y 0.089 5.989 2.967
Y 0.089 0.704 6.647
Y 1.709 4.992 7.170
Y -3.284 1.865 5.919
Y -1.807 4.900 7.039
Tm 3.373 -0.038 -0.054
Tm -1.642 4.324 0.599
Tm 0.000 0.000 0.000
Tm -1.642 -0.939 4.263
```

Properties
The value obtained for the formation energy is 0.400 eV per atom.

***

# 19
Compound: Pr4YTm2
Source: the Alexandria database
Functional: GGA-PBE
Structure: relaxed

```
14
Lattice="6.933 0.000 0.000 3.467 8.290 -1.153 3.467 1.608 8.214" Properties=species:S:1:pos:R:3 pbc="T T T"
Pr 3.467 3.474 2.441
Pr 6.933 8.388 6.020
Pr 4.999 3.177 5.800
Pr 8.867 3.177 5.800
Pr 4.999 6.721 1.261
Pr 6.933 1.511 1.040
Pr 8.867 6.721 1.261
Pr 10.400 6.425 4.620
Y 1.733 4.145 -0.577
Y 5.200 4.145 -0.577
Tm 6.933 8.771 2.723
Tm 3.467 0.000 0.000
Tm 6.933 4.949 3.530
Tm 6.933 1.128 4.338
```

Properties
The value obtained for the formation energy is 0.255 eV per atom. The energy relative to the lowest polymorph listed for this composition comes out at 18.8 kJ per mole of atoms.